## Zr2Cu2Ag (PBE-GGA)

Data for a relaxed Zr2Cu2Ag crystal.

Unit cell a=8.052 b=8.052 c=2.832 alpha=90.00 beta=90.00 gamma=90.00
Space group P4/mbm (No. 127)
Inequivalent atoms, fractional coordinates:
Zr 0.173 0.327 0.000 x4
Cu 0.119 0.619 0.500 x4
Ag 0.000 0.000 0.000 x2

Calculated values
* N(E_F): 2.9 states/eV/f.u.
* raw total energy: -5.493 eV/atom
* excess energy over the best structure of this formula in the dataset: 1.17 eV per formula unit
* DFT formation energy: 0.13 eV per atom
* total magnetic moment: 0.00 μB/cell